--- i ---
Computed, not measured: BaSr3Pb after structural relaxation at the PBE-GGA level of DFT. Values from VASP.

Quantum ESPRESSO input file:
```
&SYSTEM
  ibrav = 0, nat = 5, ntyp = 3
/
ATOMIC_SPECIES
Pb 207.20 Pb.upf
Sr 87.62 Sr.upf
Ba 137.33 Ba.upf
ATOMIC_POSITIONS crystal
Pb 0.0000 0.0000 0.0000
Sr 0.0000 0.5000 0.0000
Sr 0.0000 0.0000 0.5000
Sr 0.5000 0.0000 0.0000
Ba 0.5000 0.5000 0.5000
CELL_PARAMETERS angstrom
-2.5882 2.0826 5.6346
0.3298 -6.0768 2.3975
5.9981 1.2328 2.2995
```

Summary:
Symmetry = Pm-3m, No. 221



--- ii ---
Computed, not measured: BaSr3Pb after structural relaxation at the PBE-GGA level of DFT. Values from VASP.

Quantum ESPRESSO input file:
```
&SYSTEM
  ibrav = 0, nat = 5, ntyp = 3
/
ATOMIC_SPECIES
Pb 207.20 Pb.upf
Sr 87.62 Sr.upf
Ba 137.33 Ba.upf
ATOMIC_POSITIONS crystal
Pb 0.5000 0.5000 0.5000
Sr 0.0000 0.5000 0.0000
Sr 0.0000 0.0000 0.5000
Sr 0.5000 0.0000 0.0000
Ba 0.0000 0.0000 0.0000
CELL_PARAMETERS angstrom
-3.9195 3.7257 3.3649
1.8677 -2.8804 5.3647
4.6599 4.2881 0.6801
```

Summary:
Symmetry = Pm-3m, No. 221



i is favored, and the nearest alternative lies 88.7 kJ/mol of atoms above it.



--- i ---
Computed, not measured: BaTcPb2 after structural relaxation at the PBE-GGA level of DFT. Values from VASP.

Quantum ESPRESSO input file:
```
&SYSTEM
  ibrav = 0, nat = 4, ntyp = 3
/
ATOMIC_SPECIES
Ba 137.33 Ba.upf
Pb 207.20 Pb.upf
Tc 98.00 Tc.upf
ATOMIC_POSITIONS crystal
Ba 0.5000 0.5000 0.7225
Pb 0.0000 0.0000 0.0531
Pb 0.5000 0.5000 0.3059
Tc 0.0000 0.0000 0.4185
CELL_PARAMETERS angstrom
-0.8861 -2.5248 2.6433
-0.2947 -2.6616 -2.6411
7.9360 -1.8064 0.9350
```

Summary:
Symmetry = P4mm, No. 99



--- ii ---
Computed, not measured: BaTcPb2 after structural relaxation at the PBE-GGA level of DFT. Values from VASP.

Quantum ESPRESSO input file:
```
&SYSTEM
  ibrav = 0, nat = 8, ntyp = 3
/
ATOMIC_SPECIES
Pb 207.20 Pb.upf
Ba 137.33 Ba.upf
Tc 98.00 Tc.upf
ATOMIC_POSITIONS crystal
Pb 0.4259 0.1250 0.2500
Pb 0.3241 0.6250 0.2500
Pb 0.3750 0.5741 0.7500
Pb 0.8750 0.6759 0.7500
Ba 0.0000 0.0000 0.0000
Ba 0.7500 0.2500 0.5000
Tc 0.5000 0.5000 0.0000
Tc 0.2500 0.7500 0.5000
CELL_PARAMETERS angstrom
-0.8206 -3.8587 4.6868
-4.4994 -2.7885 -3.0836
2.9668 -8.6464 -2.5955
```

Summary:
Symmetry = I-42d, No. 122



i is favored, and the nearest alternative lies 1.7 kJ/mol of atoms above it.



--- i ---
Computed, not measured: BaTcPb2 after structural relaxation at the PBE-GGA level of DFT. Values from VASP.

Quantum ESPRESSO input file:
```
&SYSTEM
  ibrav = 0, nat = 4, ntyp = 3
/
ATOMIC_SPECIES
Ba 137.33 Ba.upf
Pb 207.20 Pb.upf
Tc 98.00 Tc.upf
ATOMIC_POSITIONS crystal
Ba 0.5000 0.5000 0.7500
Pb 0.0000 0.0000 0.0612
Pb 0.0000 0.0000 0.4388
Tc 0.5000 0.5000 0.2500
CELL_PARAMETERS angstrom
-2.7519 -0.9965 -2.0432
0.6168 -3.4151 0.8348
-5.1165 0.6794 6.5598
```

Summary:
Symmetry = P4/mmm, No. 123



--- ii ---
Computed, not measured: BaTcPb2 after structural relaxation at the PBE-GGA level of DFT. Values from VASP.

Quantum ESPRESSO input file:
```
&SYSTEM
  ibrav = 0, nat = 4, ntyp = 3
/
ATOMIC_SPECIES
Ba 137.33 Ba.upf
Pb 207.20 Pb.upf
Tc 98.00 Tc.upf
ATOMIC_POSITIONS crystal
Ba 0.0000 0.5000 0.5000
Pb 0.0000 0.0000 0.0000
Pb 0.5000 0.5000 0.0000
Tc 0.5000 0.0000 0.5000
CELL_PARAMETERS angstrom
-2.1825 1.5045 -5.4881
-1.6735 -5.5385 1.9158
-2.7974 1.3311 1.4585
```

Summary:
Symmetry = C2/m, No. 12



--- iii ---
Computed, not measured: BaTcPb2 after structural relaxation at the PBE-GGA level of DFT. Values from VASP.

Quantum ESPRESSO input file:
```
&SYSTEM
  ibrav = 0, nat = 4, ntyp = 3
/
ATOMIC_SPECIES
Ba 137.33 Ba.upf
Pb 207.20 Pb.upf
Tc 98.00 Tc.upf
ATOMIC_POSITIONS crystal
Ba 0.7562 0.7562 0.7317
Pb 0.9642 0.9642 0.1071
Pb 0.2036 0.2036 0.3892
Tc 0.5760 0.5760 0.2720
CELL_PARAMETERS angstrom
-1.2123 -3.0642 3.4168
0.5575 -4.6636 -0.6877
5.6883 -2.2258 3.3200
```

Summary:
Symmetry = R3m, No. 160



--- iv ---
Computed, not measured: BaTcPb2 after structural relaxation at the PBE-GGA level of DFT. Values from VASP.

Quantum ESPRESSO input file:
```
&SYSTEM
  ibrav = 0, nat = 4, ntyp = 3
/
ATOMIC_SPECIES
Ba 137.33 Ba.upf
Pb 207.20 Pb.upf
Tc 98.00 Tc.upf
ATOMIC_POSITIONS crystal
Ba 0.2500 0.7500 0.5000
Pb 0.9528 0.9528 0.0000
Pb 0.5472 0.5472 0.0000
Tc 0.7500 0.2500 0.5000
CELL_PARAMETERS angstrom
6.5250 0.0152 0.0044
2.6502 5.9625 -0.0044
-3.5713 -4.5488 3.0216
```

Summary:
Symmetry = Immm, No. 71



i is favored, and the nearest alternative lies 6.1 kJ/mol of atoms above it.



--- i ---
Computed, not measured: BaTcPb2 after structural relaxation at the PBE-GGA level of DFT. Values from VASP.

Quantum ESPRESSO input file:
```
&SYSTEM
  ibrav = 0, nat = 4, ntyp = 3
/
ATOMIC_SPECIES
Ba 137.33 Ba.upf
Pb 207.20 Pb.upf
Tc 98.00 Tc.upf
ATOMIC_POSITIONS crystal
Ba 0.5000 0.5000 0.5000
Pb 0.0000 0.0000 0.0000
Pb 0.2500 0.2500 0.2500
Tc 0.7500 0.7500 0.7500
CELL_PARAMETERS angstrom
-3.7623 -0.2080 -3.9860
-1.2202 -4.7927 -2.3723
-4.8597 -2.3650 0.9363
```

Summary:
Symmetry = F-43m, No. 216



--- ii ---
Computed, not measured: BaTcPb2 after structural relaxation at the PBE-GGA level of DFT. Values from VASP.

Quantum ESPRESSO input file:
```
&SYSTEM
  ibrav = 0, nat = 4, ntyp = 3
/
ATOMIC_SPECIES
Pb 207.20 Pb.upf
Ba 137.33 Ba.upf
Tc 98.00 Tc.upf
ATOMIC_POSITIONS crystal
Pb 0.2500 0.2500 0.2500
Pb 0.7500 0.7500 0.7500
Ba 0.5000 0.5000 0.5000
Tc 0.0000 0.0000 0.0000
CELL_PARAMETERS angstrom
2.3273 -2.0758 4.3330
-2.5595 0.0446 4.6848
-1.8290 -4.5611 2.0860
```

Summary:
Symmetry = Fm-3m, No. 225



ii is favored, and the nearest alternative lies 13.6 kJ/mol of atoms above it.